1.
Below is a relaxed SbPPtS2 crystal, with properties calculated at the GGA-PBE level.

abc: 4.8530 4.8530 4.5222
angles: 90.00 90.00 90.00
Positions (direct):
Sb (0.0000, 0.0000, 0.0000)
P (0.5000, 0.5000, 0.0000)
Pt (0.5000, 0.5000, 0.5000)
S (0.0000, 0.5000, 0.5000)
S (0.5000, 0.0000, 0.5000)

Computed properties:
Uncorrected formation energy in meV per atom: 464
Raw total energy in eV per atom: -4.301

***

2.
Below is a relaxed Cs2Li3UH12 crystal, with properties calculated at the GGA-PBE level.

abc: 6.5042 6.5042 6.5042
angles: 70.90 70.90 70.90
Positions (direct):
Cs (0.1213, 0.1213, 0.1213)
Cs (0.8787, 0.8787, 0.8787)
Li (0.0000, 0.5000, 0.5000)
Li (0.5000, 0.0000, 0.5000)
Li (0.5000, 0.5000, 0.0000)
U (0.5000, 0.5000, 0.5000)
H (0.1554, 0.6115, 0.6115)
H (0.2802, 0.2802, 0.5868)
H (0.2802, 0.5868, 0.2802)
H (0.3885, 0.3885, 0.8446)
H (0.3885, 0.8446, 0.3885)
H (0.4132, 0.7198, 0.7198)
H (0.5868, 0.2802, 0.2802)
H (0.6115, 0.1554, 0.6115)
H (0.6115, 0.6115, 0.1554)
H (0.7198, 0.4132, 0.7198)
H (0.7198, 0.7198, 0.4132)
H (0.8446, 0.3885, 0.3886)

Computed properties:
Raw total energy in eV per atom: -3.338

***

3.
Below is a relaxed CaLa3Nd2Se6 crystal, with properties calculated at the GGA-PBE level.

abc: 9.5345 9.5345 8.5649
angles: 102.78 102.78 25.81
Positions (direct):
Ca (0.0000, 0.0000, 0.0000)
La (0.0000, 0.0000, 0.5000)
La (0.3314, 0.3314, 0.1682)
La (0.6686, 0.6686, 0.8318)
Nd (0.3304, 0.3304, 0.6614)
Nd (0.6696, 0.6696, 0.3386)
Se (0.1625, 0.1625, 0.0843)
Se (0.1660, 0.1660, 0.5808)
Se (0.4987, 0.4987, 0.7576)
Se (0.5013, 0.5013, 0.2424)
Se (0.8340, 0.8340, 0.4192)
Se (0.8375, 0.8375, 0.9157)

Computed properties:
Uncorrected formation energy in meV per atom: -1943
Raw total energy in eV per atom: -5.879

***

4.
Below is a relaxed LiSmSi2Pt7 crystal, with properties calculated at the GGA-PBE level.

abc: 10.4447 10.4447 10.4447
angles: 156.81 156.81 33.02
Positions (direct):
Li (0.0000, 0.0000, 0.0000)
Sm (0.2500, 0.7500, 0.5000)
Si (0.5767, 0.0767, 0.5000)
Si (0.9233, 0.4233, 0.5000)
Pt (0.0411, 0.5411, 0.5000)
Pt (0.1410, 0.1410, 0.0000)
Pt (0.3596, 0.3596, 0.0000)
Pt (0.4589, 0.9589, 0.5000)
Pt (0.6404, 0.6404, 0.0000)
Pt (0.7500, 0.2500, 0.5000)
Pt (0.8590, 0.8590, 0.0000)

Computed properties:
Uncorrected formation energy in meV per atom: -624
Raw total energy in eV per atom: -6.057

***

Computed values of magnetic moment (unit: μB per atom) for the preceding records, in sequence: 0.00; 0.06; 0.00; 0.00.